1.
Material: NiTe2O5
Method: DFT, GGA-PBEsol
State: optimized geometry

Properties
symmetry	Pnma (62)
uncorrected energy	-0.215	hartree per atom
formation energy from raw total energies	-0.9228	eV per atom

The structure in CIF format:
```
data_NiTe2O5
_chemical_formula_sum 'Ni8 Te16 O40'
_space_group_name_H-M_alt 'P 1'
_space_group_IT_number 1
_cell_length_a 8.187
_cell_length_b 8.862
_cell_length_c 12.023
_cell_angle_alpha 90.00
_cell_angle_beta 90.00
_cell_angle_gamma 90.00
loop_
_space_group_symop_operation_xyz
'x,y,z'
loop_
_atom_site_label
_atom_site_fract_x
_atom_site_fract_y
_atom_site_fract_z
_atom_site_occupancy
O1 0.883 0.615 0.513 1
O2 0.183 0.653 0.873 1
O3 0.839 0.612 0.250 1
O4 0.641 0.810 0.878 1
Te1 0.831 0.830 0.250 1
O5 0.916 0.006 0.624 1
O6 0.416 0.494 0.376 1
O7 0.084 0.994 0.376 1
O8 0.683 0.847 0.127 1
Ni1 0.015 0.486 0.624 1
O9 0.916 0.006 0.876 1
Ni2 0.485 0.986 0.624 1
O10 0.117 0.385 0.013 1
O11 0.364 0.960 0.250 1
Te2 0.192 0.111 0.250 1
O12 0.584 0.506 0.624 1
O13 0.359 0.190 0.378 1
Te3 0.669 0.330 0.250 1
O14 0.864 0.540 0.750 1
Te4 0.154 0.846 0.010 1
Te5 0.308 0.611 0.250 1
Ni3 0.515 0.014 0.124 1
O15 0.383 0.885 0.013 1
Te6 0.346 0.346 0.010 1
O16 0.117 0.385 0.487 1
O17 0.817 0.347 0.373 1
Te7 0.654 0.654 0.990 1
O18 0.141 0.690 0.122 1
O19 0.636 0.040 0.750 1
O20 0.661 0.112 0.250 1
O21 0.617 0.115 0.513 1
O22 0.817 0.347 0.127 1
O23 0.136 0.460 0.250 1
Ni4 0.985 0.514 0.376 1
O24 0.683 0.847 0.373 1
Te8 0.846 0.154 0.510 1
O25 0.883 0.615 0.987 1
Te9 0.846 0.154 0.990 1
O26 0.183 0.653 0.627 1
Ni5 0.015 0.486 0.876 1
Ni6 0.515 0.014 0.376 1
O27 0.859 0.310 0.878 1
Te10 0.808 0.889 0.750 1
O28 0.584 0.506 0.876 1
O29 0.383 0.885 0.487 1
Te11 0.154 0.846 0.490 1
O30 0.084 0.994 0.124 1
O31 0.317 0.153 0.873 1
O32 0.617 0.115 0.987 1
O33 0.859 0.310 0.622 1
O34 0.141 0.690 0.378 1
O35 0.416 0.494 0.124 1
O36 0.641 0.810 0.622 1
Te12 0.331 0.670 0.750 1
O37 0.161 0.388 0.750 1
Te13 0.654 0.654 0.510 1
O38 0.359 0.190 0.122 1
Te14 0.346 0.346 0.490 1
O39 0.317 0.153 0.627 1
Ni7 0.985 0.514 0.124 1
Te15 0.169 0.170 0.750 1
O40 0.339 0.888 0.750 1
Ni8 0.485 0.986 0.876 1
Te16 0.692 0.389 0.750 1
```

***

2.
Material: ZnNiTe3O8
Method: DFT, GGA-PBEsol
State: optimized geometry

Properties
symmetry	C2 (5)
uncorrected energy	-0.209	hartree per atom
formation energy from raw total energies	-1.0490	eV per atom

The structure in CIF format:
```
data_ZnNiTe3O8
_chemical_formula_sum 'Zn2 Ni2 Te6 O16'
_space_group_name_H-M_alt 'P 1'
_space_group_IT_number 1
_cell_length_a 5.175
_cell_length_b 6.702
_cell_length_c 11.474
_cell_angle_alpha 98.10
_cell_angle_beta 90.00
_cell_angle_gamma 112.71
loop_
_space_group_symop_operation_xyz
'x,y,z'
loop_
_atom_site_label
_atom_site_fract_x
_atom_site_fract_y
_atom_site_fract_z
_atom_site_occupancy
Te1 0.438 0.260 0.797 1
O1 0.945 0.607 0.061 1
Ni1 0.453 0.528 0.396 1
Te2 0.319 0.000 0.500 1
O2 0.247 0.458 0.712 1
O3 0.338 0.393 0.939 1
O4 0.360 0.836 0.891 1
Te3 0.178 0.740 0.203 1
O5 0.231 0.471 0.227 1
O6 0.750 0.225 0.883 1
O7 0.469 0.226 0.382 1
O8 0.525 0.775 0.117 1
Zn1 0.073 0.537 0.902 1
O9 0.637 0.169 0.607 1
O10 0.242 0.774 0.618 1
O11 0.524 0.164 0.109 1
Zn2 0.536 0.463 0.098 1
O12 0.061 0.392 0.451 1
Te4 0.671 0.000 0.000 1
Te5 0.560 0.729 0.692 1
Ni2 0.924 0.472 0.604 1
O13 0.669 0.608 0.549 1
O14 0.790 0.542 0.288 1
O15 0.469 0.831 0.393 1
O16 0.760 0.529 0.773 1
Te6 0.831 0.271 0.308 1
```

***

3.
Material: Ti3NiO
Method: DFT, GGA-PBEsol
State: optimized geometry

Properties
symmetry	Pm-3m (221)
uncorrected energy	-0.312	hartree per atom
formation energy from raw total energies	-1.2046	eV per atom

The structure in CIF format:
```
data_Ti3NiO
_chemical_formula_sum 'Ti3 Ni1 O1'
_space_group_name_H-M_alt 'P 1'
_space_group_IT_number 1
_cell_length_a 3.995
_cell_length_b 3.995
_cell_length_c 3.995
_cell_angle_alpha 90.00
_cell_angle_beta 90.00
_cell_angle_gamma 90.00
loop_
_space_group_symop_operation_xyz
'x,y,z'
loop_
_atom_site_label
_atom_site_fract_x
_atom_site_fract_y
_atom_site_fract_z
_atom_site_occupancy
Ti1 0.000 0.000 0.500 1
Ni1 0.500 0.500 0.500 1
Ti2 0.000 0.500 0.000 1
O1 0.000 0.000 0.000 1
Ti3 0.500 0.000 0.000 1
```

***

4.
Material: TiNiO3
Method: DFT, GGA-PBEsol
State: optimized geometry

Properties
symmetry	R-3 (148)
uncorrected energy	-0.298	hartree per atom
formation energy from raw total energies	-2.0649	eV per atom

The structure in CIF format:
```
data_TiNiO3
_chemical_formula_sum 'Ti2 Ni2 O6'
_space_group_name_H-M_alt 'P 1'
_space_group_IT_number 1
_cell_length_a 5.004
_cell_length_b 5.004
_cell_length_c 5.356
_cell_angle_alpha 62.15
_cell_angle_beta 62.15
_cell_angle_gamma 60.00
loop_
_space_group_symop_operation_xyz
'x,y,z'
loop_
_atom_site_label
_atom_site_fract_x
_atom_site_fract_y
_atom_site_fract_z
_atom_site_occupancy
Ti1 0.856 0.856 0.433 1
O1 0.561 0.239 0.255 1
Ni1 0.652 0.652 0.045 1
O2 0.945 0.561 0.255 1
Ti2 0.144 0.144 0.567 1
O3 0.439 0.761 0.745 1
O4 0.055 0.439 0.745 1
O5 0.761 0.055 0.745 1
O6 0.239 0.945 0.255 1
Ni2 0.348 0.348 0.955 1
```

***

5.
Material: TiNiO3
Method: DFT, GGA-PBEsol
State: optimized geometry

Properties
symmetry	R3c (161)
uncorrected energy	-0.298	hartree per atom
formation energy from raw total energies	-2.0756	eV per atom

The structure in CIF format:
```
data_TiNiO3
_chemical_formula_sum 'Ti2 Ni2 O6'
_space_group_name_H-M_alt 'P 1'
_space_group_IT_number 1
_cell_length_a 4.959
_cell_length_b 4.959
_cell_length_c 5.416
_cell_angle_alpha 62.75
_cell_angle_beta 62.75
_cell_angle_gamma 60.00
loop_
_space_group_symop_operation_xyz
'x,y,z'
loop_
_atom_site_label
_atom_site_fract_x
_atom_site_fract_y
_atom_site_fract_z
_atom_site_occupancy
O1 0.557 0.269 0.241 1
O2 0.057 0.434 0.741 1
Ni1 0.352 0.352 0.944 1
O3 0.269 0.934 0.241 1
Ti1 0.150 0.150 0.551 1
Ti2 0.650 0.650 0.051 1
O4 0.434 0.769 0.741 1
O5 0.769 0.057 0.741 1
O6 0.934 0.557 0.241 1
Ni2 0.852 0.852 0.444 1
```

***

6.
Material: TlNiO3
Method: DFT, GGA-PBEsol
State: optimized geometry

Properties
symmetry	Pnma (62)
uncorrected energy	-0.207	hartree per atom
formation energy from raw total energies	-0.7135	eV per atom

The structure in CIF format:
```
data_TlNiO3
_chemical_formula_sum 'Tl4 Ni4 O12'
_space_group_name_H-M_alt 'P 1'
_space_group_IT_number 1
_cell_length_a 5.206
_cell_length_b 5.309
_cell_length_c 7.576
_cell_angle_alpha 90.00
_cell_angle_beta 90.00
_cell_angle_gamma 90.00
loop_
_space_group_symop_operation_xyz
'x,y,z'
loop_
_atom_site_label
_atom_site_fract_x
_atom_site_fract_y
_atom_site_fract_z
_atom_site_occupancy
O1 0.598 0.037 0.750 1
O2 0.098 0.463 0.250 1
O3 0.791 0.788 0.055 1
O4 0.291 0.712 0.555 1
Tl1 0.986 0.045 0.250 1
O5 0.709 0.288 0.055 1
O6 0.209 0.212 0.945 1
O7 0.291 0.712 0.945 1
Ni1 0.500 0.000 0.000 1
Tl2 0.486 0.455 0.750 1
Tl3 0.514 0.545 0.250 1
O8 0.791 0.788 0.445 1
O9 0.209 0.212 0.555 1
Ni2 0.000 0.500 0.000 1
O10 0.709 0.288 0.445 1
Ni3 0.500 0.000 0.500 1
O11 0.902 0.537 0.750 1
O12 0.402 0.963 0.250 1
Ni4 0.000 0.500 0.500 1
Tl4 0.014 0.955 0.750 1
```

***

7.
Material: V2Ni3O8
Method: DFT, GGA-PBEsol
State: optimized geometry

Properties
symmetry	Cmce (64)
uncorrected energy	-0.283	hartree per atom
formation energy from raw total energies	-1.5708	eV per atom

The structure in CIF format:
```
data_V2Ni3O8
_chemical_formula_sum 'V4 Ni6 O16'
_space_group_name_H-M_alt 'P 1'
_space_group_IT_number 1
_cell_length_a 5.797
_cell_length_b 6.349
_cell_length_c 8.135
_cell_angle_alpha 90.00
_cell_angle_beta 90.00
_cell_angle_gamma 117.16
loop_
_space_group_symop_operation_xyz
'x,y,z'
loop_
_atom_site_label
_atom_site_fract_x
_atom_site_fract_y
_atom_site_fract_z
_atom_site_occupancy
O1 0.254 0.508 0.733 1
O2 0.999 0.998 0.245 1
V1 0.625 0.250 0.883 1
O3 0.141 0.764 0.995 1
Ni1 0.000 0.000 0.000 1
O4 0.246 0.492 0.233 1
Ni2 0.120 0.739 0.750 1
O5 0.877 0.236 0.495 1
V2 0.375 0.750 0.117 1
O6 0.123 0.764 0.505 1
O7 0.623 0.764 0.995 1
O8 0.001 0.002 0.755 1
Ni3 0.500 0.000 0.500 1
O9 0.499 0.998 0.255 1
O10 0.359 0.236 0.495 1
O11 0.746 0.492 0.267 1
O12 0.754 0.508 0.767 1
O13 0.859 0.236 0.005 1
O14 0.377 0.236 0.005 1
Ni4 0.880 0.261 0.250 1
O15 0.501 0.002 0.745 1
V3 0.875 0.750 0.383 1
O16 0.641 0.764 0.505 1
V4 0.125 0.250 0.617 1
Ni5 0.380 0.261 0.250 1
Ni6 0.620 0.739 0.750 1
```

***

8.
Material: Zn2NiWO6
Method: DFT, GGA-PBEsol
State: optimized geometry

Properties
symmetry	P2_1/c (14)
uncorrected energy	-0.255	hartree per atom
formation energy from raw total energies	-1.4768	eV per atom

The structure in CIF format:
```
data_Zn2NiWO6
_chemical_formula_sum 'Zn4 Ni2 W2 O12'
_space_group_name_H-M_alt 'P 1'
_space_group_IT_number 1
_cell_length_a 5.136
_cell_length_b 5.154
_cell_length_c 7.588
_cell_angle_alpha 90.00
_cell_angle_beta 90.90
_cell_angle_gamma 90.00
loop_
_space_group_symop_operation_xyz
'x,y,z'
loop_
_atom_site_label
_atom_site_fract_x
_atom_site_fract_y
_atom_site_fract_z
_atom_site_occupancy
O1 0.837 0.184 0.924 1
O2 0.320 0.326 0.054 1
Ni1 0.500 0.000 0.000 1
Zn1 0.508 0.534 0.244 1
O3 0.820 0.174 0.554 1
Ni2 0.000 0.500 0.500 1
O4 0.384 0.080 0.741 1
O5 0.616 0.920 0.259 1
O6 0.663 0.684 0.576 1
O7 0.180 0.826 0.446 1
Zn2 0.492 0.466 0.756 1
O8 0.163 0.816 0.076 1
O9 0.116 0.580 0.759 1
W1 0.500 0.000 0.500 1
O10 0.884 0.420 0.241 1
O11 0.337 0.316 0.424 1
O12 0.680 0.674 0.946 1
W2 0.000 0.500 0.000 1
Zn3 0.992 0.034 0.256 1
Zn4 0.008 0.966 0.744 1
```